10
Lattice="5.310 -2.298 0.000 5.310 2.298 0.000 -4.665 0.000 9.197" Properties=species:S:1:pos:R:3 comment="Nd2Al2Ni, relaxed, DFT PBE" total_magnetization_mub_per_cell=0.00 ef_ev_per_fu=-2.047 pbc="T T T"
Nd -0.884 0.000 3.681
Nd -0.275 0.000 7.568
Nd 6.230 0.000 1.628
Nd 6.839 0.000 5.516
Al -3.347 0.000 8.672
Al 2.322 0.000 3.368
Al 3.633 0.000 5.828
Al 9.302 0.000 0.524
Ni 3.211 0.000 1.097
Ni 2.745 0.000 8.100

=====

10
Lattice="4.199 -5.186 0.000 4.199 5.186 0.000 0.000 0.000 4.404" Properties=species:S:1:pos:R:3 comment="NdAl7Ni2, relaxed, DFT PBE" total_magnetization_mub_per_cell=0.00 ef_ev_per_fu=-2.081 pbc="T T T"
Nd 0.000 0.000 0.000
Al 1.920 1.332 2.202
Al 4.199 1.779 0.000
Al 1.920 -1.332 2.202
Al 4.199 0.000 2.202
Al 6.477 1.332 2.202
Al 4.199 -1.779 0.000
Al 6.477 -1.332 2.202
Ni 4.199 2.432 2.202
Ni 4.199 -2.432 2.202

=====

8
Lattice="-2.111 2.638 7.603 2.111 -2.638 7.603 2.111 2.638 -7.603" Properties=species:S:1:pos:R:3 comment="Nd3AlNi4, relaxed, DFT PBE" total_magnetization_mub_per_cell=0.00 ef_ev_per_fu=-2.212 pbc="T T T"
Nd 0.000 0.000 0.000
Nd 2.111 0.000 4.666
Nd 0.000 2.638 2.937
Al 0.000 0.000 7.603
Ni 2.111 1.163 -1.846
Ni 2.111 1.163 1.846
Ni 0.000 1.475 5.758
Ni 0.000 1.475 9.449

=====

5
Lattice="-2.123 2.745 4.354 2.123 -2.745 4.354 2.123 2.745 -4.354" Properties=species:S:1:pos:R:3 comment="Nd2AlNi2, relaxed, DFT PBE" total_magnetization_mub_per_cell=0.00 ef_ev_per_fu=-2.181 pbc="T T T"
Nd 0.000 0.000 1.750
Nd 0.000 0.000 6.959
Al 0.000 2.745 0.000
Ni 2.123 1.317 0.000
Ni 0.000 1.428 4.354

=====

16
Lattice="-3.956 3.956 6.699 3.956 -3.956 6.699 3.956 3.956 -6.699" Properties=species:S:1:pos:R:3 comment="Nd5AlNi2, relaxed, DFT PBE" total_magnetization_mub_per_cell=0.00 ef_ev_per_fu=-1.866 pbc="T T T"
Nd 0.000 0.000 0.000
Nd 5.232 1.276 -1.872
Nd 1.276 2.680 -1.872
Nd 5.232 1.276 1.872
Nd 1.276 2.680 1.872
Nd 0.000 0.000 6.699
Nd 2.680 1.276 4.827
Nd -1.276 2.680 4.827
Nd 2.680 1.276 8.570
Nd -1.276 2.680 8.570
Al 0.000 0.000 3.349
Al 0.000 0.000 10.048
Ni 2.995 0.961 0.000
Ni 2.995 -0.961 6.699
Ni 0.961 4.917 0.000
Ni 0.961 2.995 6.699